No. 1
A relaxed structure of Pm5Dy12Tm2, computed with PBE. Values from VASP.

Cell and atoms, written as Quantum ESPRESSO input:
```
&SYSTEM
  ibrav = 0, nat = 19, ntyp = 3
/
ATOMIC_SPECIES
Dy 162.50 Dy.upf
Pm 145.00 Pm.upf
Tm 168.93 Tm.upf
ATOMIC_POSITIONS angstrom
Dy 2.040 -0.853 11.467
Dy -2.157 6.046 -3.599
Dy 3.364 -0.257 5.448
Dy 0.591 2.871 0.927
Dy 2.476 3.198 5.605
Dy -0.712 2.332 6.938
Dy 5.224 0.023 10.131
Dy 2.677 5.204 2.678
Dy 0.390 0.866 3.854
Dy -0.297 6.326 1.084
Dy 1.027 6.923 -4.935
Dy 3.779 3.737 -0.406
Pm 3.564 1.737 2.514
Pm 2.260 1.177 8.530
Pm -0.497 4.332 4.018
Pm 0.175 -1.142 6.794
Pm 0.807 4.893 -1.998
Tm 5.022 -1.981 13.050
Tm -1.955 8.050 -6.518
CELL_PARAMETERS angstrom
6.157 -0.264 0.252
-3.440 8.617 -7.309
0.349 -2.284 13.589
```

Values from the calculation:
Polymorph energy (0 for the lowest one) (meV/atom): 0



No. 2
A relaxed structure of Pm12DyTm6, computed with PBE. Values from VASP.

Cell and atoms, written as Quantum ESPRESSO input:
```
&SYSTEM
  ibrav = 0, nat = 19, ntyp = 3
/
ATOMIC_SPECIES
Tm 168.93 Tm.upf
Pm 145.00 Pm.upf
Dy 162.50 Dy.upf
ATOMIC_POSITIONS angstrom
Tm 5.785 2.632 1.656
Tm 0.269 5.894 2.886
Tm 7.062 2.647 7.346
Tm 1.725 0.537 6.315
Tm 1.546 5.909 8.575
Tm 5.606 8.004 3.917
Pm 4.428 1.940 4.620
Pm 2.903 6.601 5.612
Pm 6.084 4.830 4.810
Pm 2.973 0.262 1.984
Pm 5.898 5.313 9.619
Pm -0.192 1.420 3.285
Pm 1.433 3.228 0.612
Pm 3.852 3.528 7.497
Pm 7.523 7.121 6.947
Pm 1.247 3.711 5.421
Pm 3.479 5.013 2.735
Pm 4.358 8.279 8.248
Dy 0.000 0.000 0.000
CELL_PARAMETERS angstrom
8.541 0.698 0.836
-0.605 8.548 0.836
-0.605 -0.705 8.560
```

Values from the calculation:
Polymorph energy (0 for the lowest one) (meV/atom): 119



No. 3
A relaxed structure of PmDy6Tm, computed with PBE. Values from VASP.

Cell and atoms, written as Quantum ESPRESSO input:
```
&SYSTEM
  ibrav = 0, nat = 8, ntyp = 3
/
ATOMIC_SPECIES
Pm 145.00 Pm.upf
Dy 162.50 Dy.upf
Tm 168.93 Tm.upf
ATOMIC_POSITIONS angstrom
Pm 0.000 0.000 5.016
Dy 2.510 2.510 5.016
Dy 2.510 0.000 7.550
Dy 0.000 2.510 2.483
Dy 2.510 0.000 2.483
Dy 0.000 2.510 7.550
Dy 2.510 2.510 0.000
Tm 0.000 0.000 0.000
CELL_PARAMETERS angstrom
5.021 0.000 0.000
0.000 5.021 0.000
0.000 0.000 10.033
```

Values from the calculation:
Polymorph energy (0 for the lowest one) (meV/atom): 0



No. 4
A relaxed structure of PmDy5Tm5, computed with PBE. Values from VASP.

Cell and atoms, written as Quantum ESPRESSO input:
```
&SYSTEM
  ibrav = 0, nat = 11, ntyp = 3
/
ATOMIC_SPECIES
Dy 162.50 Dy.upf
Pm 145.00 Pm.upf
Tm 168.93 Tm.upf
ATOMIC_POSITIONS angstrom
Dy -5.178 7.379 5.184
Dy 0.145 2.968 4.134
Dy -2.445 0.175 3.043
Dy 0.000 0.000 0.000
Dy -1.274 6.708 5.246
Pm 1.420 -0.393 3.135
Tm -3.102 3.581 5.680
Tm -5.433 3.248 3.826
Tm -2.915 7.684 2.284
Tm -2.899 4.503 2.836
Tm -1.053 2.777 0.825
CELL_PARAMETERS angstrom
-5.074 -2.514 1.983
4.667 0.667 3.712
-3.968 10.462 3.109
```

Values from the calculation:
Polymorph energy (0 for the lowest one) (meV/atom): 173



No. 5
A relaxed structure of Pm9Dy4Tm11, computed with PBE. Values from VASP.

Cell and atoms, written as Quantum ESPRESSO input:
```
&SYSTEM
  ibrav = 0, nat = 24, ntyp = 3
/
ATOMIC_SPECIES
Tm 168.93 Tm.upf
Pm 145.00 Pm.upf
Dy 162.50 Dy.upf
ATOMIC_POSITIONS angstrom
Tm 0.000 5.075 7.395
Tm 0.000 8.794 1.761
Tm 0.000 5.637 -1.726
Tm 0.000 0.000 0.000
Tm 0.000 0.629 5.862
Tm 0.000 13.241 3.294
Tm 0.000 4.004 2.643
Tm 0.000 8.232 10.881
Tm 0.000 11.647 -2.560
Tm 0.000 9.866 6.513
Tm 0.000 2.223 11.716
Pm 1.848 11.624 0.605
Pm 1.848 0.910 2.826
Pm 1.848 10.914 9.430
Pm 1.848 6.935 4.578
Pm 1.848 2.956 -0.274
Pm 1.848 2.246 8.551
Pm 1.848 8.745 -1.295
Pm 1.848 5.125 10.451
Pm 1.848 12.960 6.330
Dy 1.848 10.473 3.887
Dy 1.848 3.397 5.269
Dy 1.848 7.690 8.103
Dy 1.848 6.180 1.053
CELL_PARAMETERS angstrom
3.696 0.000 0.000
0.000 13.878 -5.940
0.000 -0.008 15.096
```



No. 6
A relaxed structure of Pm2Dy3Tm3, computed with PBE. Values from VASP.

Cell and atoms, written as Quantum ESPRESSO input:
```
&SYSTEM
  ibrav = 0, nat = 8, ntyp = 3
/
ATOMIC_SPECIES
Dy 162.50 Dy.upf
Tm 168.93 Tm.upf
Pm 145.00 Pm.upf
ATOMIC_POSITIONS angstrom
Dy 3.154 -3.358 -2.459
Dy 2.041 -0.079 -0.030
Dy 3.293 -2.666 5.108
Tm 2.228 -2.973 1.339
Tm 5.258 -2.319 -0.273
Tm 5.245 -3.862 2.862
Pm 4.117 -5.808 -0.047
Pm 4.371 -0.296 2.666
CELL_PARAMETERS angstrom
-0.184 -5.766 2.746
4.181 -2.616 -4.061
4.490 2.279 3.933
```

Values from the calculation:
Polymorph energy (0 for the lowest one) (meV/atom): 205



No. 7
A relaxed structure of Pm2Dy3Tm9, computed with PBE. Values from VASP.

Cell and atoms, written as Quantum ESPRESSO input:
```
&SYSTEM
  ibrav = 0, nat = 14, ntyp = 3
/
ATOMIC_SPECIES
Dy 162.50 Dy.upf
Tm 168.93 Tm.upf
Pm 145.00 Pm.upf
ATOMIC_POSITIONS angstrom
Dy 5.718 4.967 5.878
Dy 6.775 10.971 10.737
Dy 10.085 12.210 7.293
Tm 4.776 4.067 2.849
Tm 8.280 7.258 6.051
Tm 10.231 14.109 14.093
Tm 4.212 8.680 10.564
Tm 9.667 12.650 10.882
Tm 7.716 11.871 13.766
Tm 2.261 1.829 2.522
Tm 3.347 7.482 7.394
Tm 2.825 3.288 5.733
Pm 6.289 9.545 7.655
Pm 6.203 6.393 8.961
CELL_PARAMETERS angstrom
5.799 0.975 1.827
4.287 11.237 5.465
2.406 3.726 9.323
```



No. 8
A relaxed structure of Pm5Dy4Tm4, computed with PBE. Values from VASP.

Cell and atoms, written as Quantum ESPRESSO input:
```
&SYSTEM
  ibrav = 0, nat = 13, ntyp = 3
/
ATOMIC_SPECIES
Dy 162.50 Dy.upf
Tm 168.93 Tm.upf
Pm 145.00 Pm.upf
ATOMIC_POSITIONS angstrom
Dy -10.987 -2.976 3.204
Dy -1.948 -5.400 2.230
Dy -7.520 -8.013 2.465
Dy -5.414 -0.363 2.969
Tm -7.335 -5.750 5.212
Tm -5.599 -2.626 0.223
Tm -8.021 -4.519 1.970
Tm -4.913 -3.857 3.465
Pm -8.531 -1.050 1.472
Pm -2.467 -1.950 1.729
Pm -10.468 -6.426 3.706
Pm 0.000 0.000 0.000
Pm -4.404 -7.326 3.963
CELL_PARAMETERS angstrom
-2.232 0.318 4.500
-9.267 0.229 -1.799
-1.435 -8.924 2.734
```



No. 9
A relaxed structure of Pm6DyTm12, computed with PBE. Values from VASP.

Cell and atoms, written as Quantum ESPRESSO input:
```
&SYSTEM
  ibrav = 0, nat = 19, ntyp = 3
/
ATOMIC_SPECIES
Pm 145.00 Pm.upf
Tm 168.93 Tm.upf
Dy 162.50 Dy.upf
ATOMIC_POSITIONS angstrom
Pm 3.111 -8.066 -0.503
Pm 3.307 -1.868 -7.782
Pm 3.633 -2.839 3.961
Pm 3.829 3.359 -3.318
Pm -1.715 -4.418 -3.808
Pm 8.655 -0.289 -0.013
Tm 1.558 -0.920 -3.022
Tm 5.929 -1.628 1.662
Tm 3.560 0.497 -5.258
Tm 3.500 -0.347 -0.201
Tm 3.441 -4.360 -3.620
Tm 1.486 -3.171 -0.379
Tm 6.019 1.222 -1.685
Tm 5.454 -1.536 -3.442
Tm 1.011 -3.079 -5.483
Tm 3.380 -5.204 1.437
Tm 5.383 -3.787 -0.798
Tm 0.921 -5.930 -2.135
Dy 0.000 0.000 0.000
CELL_PARAMETERS angstrom
-3.466 -6.533 -5.656
5.359 5.847 -4.877
5.047 -4.020 6.712
```

Values from the calculation:
Polymorph energy (0 for the lowest one) (meV/atom): 138



No. 10
A relaxed structure of Pm3Dy6Tm2, computed with PBE. Values from VASP.

Cell and atoms, written as Quantum ESPRESSO input:
```
&SYSTEM
  ibrav = 0, nat = 11, ntyp = 3
/
ATOMIC_SPECIES
Tm 168.93 Tm.upf
Dy 162.50 Dy.upf
Pm 145.00 Pm.upf
ATOMIC_POSITIONS angstrom
Tm 2.839 1.643 11.913
Tm 2.315 1.340 20.463
Dy 1.781 1.031 29.162
Dy 0.365 0.211 23.151
Dy 4.265 2.469 17.772
Dy 0.889 0.515 14.604
Dy 3.373 1.952 3.214
Dy 4.789 2.772 9.225
Pm 3.737 2.163 26.380
Pm 0.000 0.000 0.000
Pm 1.417 0.820 5.996
CELL_PARAMETERS angstrom
3.557 0.000 0.218
1.772 3.084 0.218
-0.174 -0.101 31.940
```

Values from the calculation:
Polymorph energy (0 for the lowest one) (meV/atom): 0



No. 11
A relaxed structure of Pm2Dy6Tm3, computed with PBE. Values from VASP.

Cell and atoms, written as Quantum ESPRESSO input:
```
&SYSTEM
  ibrav = 0, nat = 11, ntyp = 3
/
ATOMIC_SPECIES
Dy 162.50 Dy.upf
Pm 145.00 Pm.upf
Tm 168.93 Tm.upf
ATOMIC_POSITIONS angstrom
Dy -10.901 -1.399 -1.834
Dy -6.793 -0.432 -6.313
Dy -3.411 0.625 -0.242
Dy -9.209 -0.872 1.199
Dy -10.384 1.874 -0.657
Dy -5.102 0.095 -3.280
Pm -8.589 0.721 -3.483
Pm -7.414 -2.025 -1.630
Tm 0.000 0.000 0.000
Tm -1.690 -0.517 -3.030
Tm -3.385 -1.071 -6.072
CELL_PARAMETERS angstrom
-2.867 2.214 -4.887
-2.208 -3.803 -4.214
-10.928 0.285 3.988
```

Values from the calculation:
Polymorph energy (0 for the lowest one) (meV/atom): 0



No. 12
A relaxed structure of Pm8Dy3Tm2, computed with PBE. Values from VASP.

Cell and atoms, written as Quantum ESPRESSO input:
```
&SYSTEM
  ibrav = 0, nat = 13, ntyp = 3
/
ATOMIC_SPECIES
Pm 145.00 Pm.upf
Dy 162.50 Dy.upf
Tm 168.93 Tm.upf
ATOMIC_POSITIONS angstrom
Pm 10.517 4.873 -2.173
Pm 7.059 1.362 5.962
Pm 2.381 1.945 -0.533
Pm 9.112 3.220 3.666
Pm 3.039 2.146 3.003
Pm 0.976 0.293 5.306
Pm 8.455 3.019 0.130
Pm 4.435 3.803 -2.828
Dy 5.786 0.967 -1.099
Dy 0.325 0.105 1.766
Dy 11.169 5.060 1.367
Tm 6.415 1.167 2.431
Tm 5.079 3.998 0.703
CELL_PARAMETERS angstrom
11.571 1.935 -2.199
0.681 4.690 -4.054
-0.759 -1.460 9.386
```

Values from the calculation:
Polymorph energy (0 for the lowest one) (meV/atom): 0



No. 13
A relaxed structure of Pm2Dy12Tm5, computed with PBE. Values from VASP.

Cell and atoms, written as Quantum ESPRESSO input:
```
&SYSTEM
  ibrav = 0, nat = 19, ntyp = 3
/
ATOMIC_SPECIES
Dy 162.50 Dy.upf
Pm 145.00 Pm.upf
Tm 168.93 Tm.upf
ATOMIC_POSITIONS angstrom
Dy -7.945 2.705 -2.951
Dy -6.541 2.743 3.477
Dy -6.294 -0.244 -2.475
Dy -4.893 -0.368 4.247
Dy -2.891 2.154 0.112
Dy -1.243 -0.956 0.883
Dy -1.389 -0.430 4.310
Dy -1.489 2.030 6.834
Dy -4.727 -4.446 0.062
Dy -3.057 6.232 4.297
Dy 0.161 -0.919 7.310
Dy -6.394 2.216 0.050
Pm -0.178 4.371 4.485
Pm -0.083 2.030 2.083
Tm 0.890 -2.951 2.911
Tm -2.796 -3.161 2.969
Tm -3.155 2.698 3.655
Tm -4.629 -0.912 0.705
Tm -4.988 4.947 1.390
CELL_PARAMETERS angstrom
-0.260 6.401 6.569
-9.304 1.287 -8.031
1.780 -5.902 5.822
```

Values from the calculation:
Polymorph energy (0 for the lowest one) (meV/atom): 116



No. 14
A relaxed structure of PmDyTm2, computed with PBE. Values from VASP.

Cell and atoms, written as Quantum ESPRESSO input:
```
&SYSTEM
  ibrav = 0, nat = 16, ntyp = 3
/
ATOMIC_SPECIES
Dy 162.50 Dy.upf
Pm 145.00 Pm.upf
Tm 168.93 Tm.upf
ATOMIC_POSITIONS angstrom
Dy 0.854 0.651 6.762
Dy 6.043 6.183 -0.129
Dy 6.043 1.778 3.950
Dy 0.854 -3.754 10.841
Pm 2.581 2.800 0.636
Pm 4.316 -0.371 10.075
Pm 4.316 4.014 5.992
Pm 2.581 -1.585 4.719
Tm 6.040 -1.588 4.731
Tm 0.857 -0.373 10.087
Tm 4.313 0.650 6.743
Tm 2.584 1.779 3.969
Tm 2.584 6.182 -0.149
Tm 0.857 4.017 5.980
Tm 4.313 -3.754 10.860
Tm 6.040 2.802 0.624
CELL_PARAMETERS angstrom
6.897 0.000 0.000
0.000 6.747 -1.536
0.000 -4.318 12.247
```

Values from the calculation:
Polymorph energy (0 for the lowest one) (meV/atom): 194



No. 15
A relaxed structure of Pm3Dy4Tm4, computed with PBE. Values from VASP.

Cell and atoms, written as Quantum ESPRESSO input:
```
&SYSTEM
  ibrav = 0, nat = 11, ntyp = 3
/
ATOMIC_SPECIES
Tm 168.93 Tm.upf
Dy 162.50 Dy.upf
Pm 145.00 Pm.upf
ATOMIC_POSITIONS angstrom
Tm 3.470 2.800 14.594
Tm 1.738 5.615 3.253
Tm 1.736 2.801 8.345
Tm 3.473 5.613 9.502
Dy 3.472 5.609 16.208
Dy 1.737 2.806 1.639
Dy 3.474 2.801 11.366
Dy 1.735 5.613 6.481
Pm 1.734 5.612 12.949
Pm 3.475 2.803 4.898
Pm 1.731 2.791 17.842
CELL_PARAMETERS angstrom
3.478 0.000 0.003
0.000 5.623 0.002
1.731 2.791 17.842
```

Values from the calculation:
Polymorph energy (0 for the lowest one) (meV/atom): 37



No. 16
A relaxed structure of PmDy4Tm7, computed with PBE. Values from VASP.

Cell and atoms, written as Quantum ESPRESSO input:
```
&SYSTEM
  ibrav = 0, nat = 12, ntyp = 3
/
ATOMIC_SPECIES
Tm 168.93 Tm.upf
Dy 162.50 Dy.upf
Pm 145.00 Pm.upf
ATOMIC_POSITIONS angstrom
Tm 4.450 2.729 7.678
Tm 4.916 0.375 12.856
Tm -1.073 1.346 2.329
Tm 4.166 -1.976 6.665
Tm 2.080 0.565 7.836
Tm 1.613 2.919 2.658
Tm 2.363 5.270 8.849
Dy 1.528 3.380 5.955
Dy 1.813 0.152 4.350
Dy 5.001 -0.086 9.559
Dy 4.717 3.142 11.164
Pm 0.000 0.000 0.000
CELL_PARAMETERS angstrom
-2.147 2.693 4.658
5.373 -4.836 8.874
3.304 5.437 1.982
```

Values from the calculation:
Polymorph energy (0 for the lowest one) (meV/atom): 283



No. 17
A relaxed structure of Pm5Dy2Tm6, computed with PBE. Values from VASP.

Cell and atoms, written as Quantum ESPRESSO input:
```
&SYSTEM
  ibrav = 0, nat = 26, ntyp = 3
/
ATOMIC_SPECIES
Pm 145.00 Pm.upf
Tm 168.93 Tm.upf
Dy 162.50 Dy.upf
ATOMIC_POSITIONS angstrom
Pm 1.785 4.822 14.831
Pm 1.785 0.966 4.640
Pm 1.785 2.301 19.372
Pm 1.785 3.487 9.182
Pm 1.785 10.609 15.741
Pm 1.785 9.274 1.009
Pm 1.785 5.788 0.000
Pm 1.785 6.754 5.550
Pm 1.785 0.000 10.190
Pm 1.785 8.089 11.199
Tm 0.000 4.859 17.710
Tm 1.785 7.820 17.573
Tm 0.000 10.866 18.719
Tm 0.000 5.079 11.852
Tm 0.000 0.709 1.662
Tm 0.000 10.647 12.862
Tm 0.000 6.497 8.529
Tm 1.785 2.033 12.998
Tm 0.000 6.716 2.671
Tm 1.785 9.543 7.383
Tm 1.785 3.755 2.807
Tm 0.000 0.928 7.519
Dy 0.000 7.769 14.473
Dy 0.000 9.594 4.282
Dy 0.000 3.806 5.908
Dy 0.000 1.982 16.099
CELL_PARAMETERS angstrom
3.569 0.000 0.000
0.000 11.575 0.000
0.000 0.000 20.381
```



No. 18
A relaxed structure of Pm5DyTm5, computed with PBE. Values from VASP.

Cell and atoms, written as Quantum ESPRESSO input:
```
&SYSTEM
  ibrav = 0, nat = 11, ntyp = 3
/
ATOMIC_SPECIES
Tm 168.93 Tm.upf
Dy 162.50 Dy.upf
Pm 145.00 Pm.upf
ATOMIC_POSITIONS angstrom
Tm 0.000 6.040 2.715
Tm 0.000 3.859 5.579
Tm 2.959 2.687 1.216
Tm 0.000 -1.435 3.200
Tm 2.959 0.506 4.080
Dy 0.000 0.000 0.000
Pm 2.959 0.000 0.000
Pm 2.959 4.426 3.955
Pm 2.959 5.891 0.688
Pm 0.000 2.120 2.840
Pm 0.000 0.656 6.107
CELL_PARAMETERS angstrom
5.919 0.000 0.000
-2.959 9.416 0.396
0.000 -2.870 6.399
```



It is found that the E values, taken in the order of the records, are -87.572 -85.849 -36.654 -46.615 -109.186 -34.895 -61.844 -59.785 -81.774 -50.598 -48.515 -60.540 -84.548 -69.805 -49.917 -51.047 -117.069 -47.761 eV per cell.
It is found that the V values, taken in the order of the records, are 607.8 637.8 252.9 362.1 774.1 258.6 443.1 416.9 616.5 350.5 367.7 428.9 611.2 131.0 348.9 384.9 421.0 363.4 Å³/f.u..